1.
Material: Ag4Te3
Method: DFT, GGA-PBE
State: optimized geometry

```
data_Ag4Te3
_chemical_formula_sum 'Ag4 Te3'
_space_group_name_H-M_alt 'P -4 3 m'
_space_group_IT_number 215
_space_group_name_Hall 'P -4 2 3'
_cell_length_a 6.605
_cell_length_b 6.605
_cell_length_c 6.605
_cell_angle_alpha 90.00
_cell_angle_beta 90.00
_cell_angle_gamma 90.00
loop_
_atom_site_label
_atom_site_type_symbol
_atom_site_fract_x
_atom_site_fract_y
_atom_site_fract_z
Ag1 Ag 0.197 0.197 0.197
Te1 Te 0.000 0.000 0.500
```

Output
Theoretical density   4692 kg/m3
Uncorrected formation energy   0.163 eV per atom
Energy above the most stable polymorph in this dataset   0.1321 eV/atom
Fermi-level density of states   8.3 states/eV/cell
Magnetization   0.0 μB/f.u.

2.
Material: TiRe2Si2
Method: DFT, GGA-PBE
State: optimized geometry

```
data_TiRe2Si2
_chemical_formula_sum 'Ti2 Re4 Si4'
_space_group_name_H-M_alt 'P 4/m b m'
_space_group_IT_number 127
_space_group_name_Hall '-P 4 2ab'
_cell_length_a 6.893
_cell_length_b 6.893
_cell_length_c 3.009
_cell_angle_alpha 90.00
_cell_angle_beta 90.00
_cell_angle_gamma 90.00
loop_
_atom_site_label
_atom_site_type_symbol
_atom_site_fract_x
_atom_site_fract_y
_atom_site_fract_z
Ti1 Ti 0.000 0.000 0.000
Re1 Re 0.153 0.347 0.500
Si1 Si 0.141 0.641 0.000
```

Output
Theoretical density   11069 kg/m3
Uncorrected formation energy   -0.281 eV per atom
Fermi-level density of states   12.4 states/eV/cell
Magnetization   0.0 μB/f.u.